No. 1
A crystal of Cd3PbCl relaxed with PBEsol. Source: Alexandria, functional meta-GGA SCAN.

Cell: 5.567 5.567 5.567 Å, 90.00 90.00 90.00°
Positions (direct):
Pb 0.000 0.000 0.000
Cl 0.500 0.500 0.500
Cd 0.000 0.500 0.000
Cd 0.000 0.000 0.500
Cd 0.500 0.000 0.000

Output
E above lowest polymorph: 0.000 eV per atom
energy relative to the elements, uncorrected: 0.013 eV/atom
magnetic moment: 0.00 μB/f.u.

=====

No. 2
A crystal of Cd2PdCl relaxed with PBEsol. Source: Alexandria, functional meta-GGA SCAN.

Cell: 4.776 4.776 4.776 Å, 60.00 60.00 60.00°
Positions (direct):
Cl 0.000 0.000 0.000
Pd 0.500 0.500 0.500
Cd 0.250 0.250 0.250
Cd 0.750 0.750 0.750

Output
energy relative to the elements, uncorrected: -0.006 eV/atom
magnetic moment: 0.00 μB/f.u.

=====

No. 3
A crystal of CdPdCl3 relaxed with PBEsol. Source: Alexandria, functional meta-GGA SCAN.

Cell: 5.035 5.035 5.035 Å, 90.00 90.00 90.00°
Last column: magnetic moment on the atom in μB.
Positions (direct):
Cl 0.000 0.500 0.000  0.04
Cl 0.000 0.000 0.500  0.04
Cl 0.500 0.000 0.000  0.04
Pd 0.500 0.500 0.500  0.88
Cd 0.000 0.000 0.000  0.00

Output
energy relative to the elements, uncorrected: -0.249 eV/atom
magnetic moment: 1.01 μB/f.u.

=====

No. 4
A crystal of CdPt2Cl relaxed with PBEsol. Source: Alexandria, functional meta-GGA SCAN.

Cell: 2.882 4.037 5.705 Å, 90.00 90.00 90.00°
Positions (direct):
Cl 0.500 0.500 0.500
Pt 0.000 0.000 0.754
Pt 0.000 0.000 0.246
Cd 0.500 0.500 0.000

Output
E above lowest polymorph: 0.141 eV per atom
energy relative to the elements, uncorrected: 0.233 eV/atom
magnetic moment: 0.00 μB/f.u.

=====

No. 5
A crystal of CdPt2Cl relaxed with PBEsol. Source: Alexandria, functional meta-GGA SCAN.

Cell: 2.993 2.993 7.602 Å, 90.00 90.00 90.17°
Positions (direct):
Cl 0.500 0.500 0.251
Pt 0.000 0.000 0.984
Pt 0.500 0.500 0.753
Cd 0.000 0.000 0.512

Output
E above lowest polymorph: 0.000 eV per atom
energy relative to the elements, uncorrected: 0.093 eV/atom
magnetic moment: 0.00 μB/f.u.

=====

No. 6
A crystal of CdPt2Cl relaxed with PBEsol. Source: Alexandria, functional meta-GGA SCAN.

Cell: 2.871 5.303 5.502 Å, 118.81 105.13 90.00°
Positions (direct):
Cl 0.276 0.776 0.553
Pt 0.996 0.996 0.992
Pt 0.732 0.232 0.464
Cd 0.495 0.495 0.990

Output
E above lowest polymorph: 0.147 eV per atom
energy relative to the elements, uncorrected: 0.240 eV/atom
magnetic moment: 0.00 μB/f.u.